# PBE SrTcRh, optimized geometry
data_SrTcRh
_chemical_formula_sum 'Sr4 Tc4 Rh4'
_symmetry_space_group_name_H-M 'P n m a'
_symmetry_Int_Tables_number 62
_cell_length_a 5.529
_cell_length_b 4.361
_cell_length_c 10.867
_cell_angle_alpha 90.00
_cell_angle_beta 90.00
_cell_angle_gamma 90.00
loop_
_symmetry_equiv_pos_as_xyz
'x,y,z'
'-x,-y,-z'
'-x+1/2,-y,z+1/2'
'x+1/2,y,-z+1/2'
'x+1/2,-y+1/2,-z+1/2'
'-x+1/2,y+1/2,z+1/2'
'-x,y+1/2,-z'
'x,-y+1/2,z'
loop_
_atom_site_label
_atom_site_type_symbol
_atom_site_fract_x
_atom_site_fract_y
_atom_site_fract_z
Sr1 Sr 0.103 0.250 0.127
Tc1 Tc 0.092 0.750 0.326
Rh1 Rh 0.097 0.250 0.440
# Total DFT energy (no corrections) (eV per atom): -6.098
# Energy above the lowest structure with this stoichiometry (meV per atom): 277.5